# Ag3SbS3 (PBE, optimized geometry)
data_Ag3SbS3
_space_group_name_H-M_alt 'C 1 c 1'
_space_group_IT_number 9
_cell_length_a 4.1698
_cell_length_b 28.5418
_cell_length_c 5.2115
_cell_angle_alpha 90.00
_cell_angle_beta 91.04
_cell_angle_gamma 90.00
loop_
_space_group_symop_operation_xyz
'x,y,z'
'x,-y,z+1/2'
'x+1/2,y+1/2,z'
'x+1/2,-y+1/2,z+1/2'
loop_
_atom_site_label
_atom_site_fract_x
_atom_site_fract_y
_atom_site_fract_z
_atom_site_occupancy
Ag1 0.0000 0.0703 0.0000 1
Ag2 0.2343 0.1685 0.2344 1
Ag3 0.2983 0.2835 0.2984 1
Sb1 0.0148 0.4701 0.7797 1
S1 0.0747 0.3679 0.3741 1
S2 0.2555 0.2805 0.8073 1
S3 0.3023 0.1004 0.5768 1
# - D(E_F) (states/eV per cell) = 10.9
# - total magnetization (μB/f.u.) = 0.000
# - formation energy (no corrections) (kJ/mol of atoms) = 10.7
# - energy above the most stable polymorph in this dataset (meV per atom) = 240.3

***

# RbCuH3 (PBE, optimized geometry)
data_RbCuH3
_space_group_name_H-M_alt 'P m -3 m'
_space_group_IT_number 221
_space_group_name_Hall '-P 4 2 3'
_cell_length_a 4.8239
_cell_length_b 4.8239
_cell_length_c 4.8239
_cell_angle_alpha 90.00
_cell_angle_beta 90.00
_cell_angle_gamma 90.00
loop_
_atom_site_label
_atom_site_fract_x
_atom_site_fract_y
_atom_site_fract_z
_atom_site_occupancy
Rb1 0.0000 0.0000 0.0000 1
Cu1 0.5000 0.5000 0.5000 1
H1 0.0000 0.0000 0.5000 1
# - D(E_F) (states/eV per cell) = 3.0
# - total magnetization (μB/f.u.) = 1.000
# - energy above the most stable polymorph in this dataset (meV per atom) = 1501.3

***

# Sr4Mg2Ni (PBE, optimized geometry)
data_Sr4Mg2Ni
_space_group_name_H-M_alt 'I 4/m m m'
_space_group_IT_number 139
_space_group_name_Hall '-I 4 2'
_cell_length_a 5.6448
_cell_length_b 5.6448
_cell_length_c 18.0033
_cell_angle_alpha 90.00
_cell_angle_beta 90.00
_cell_angle_gamma 90.00
loop_
_atom_site_label
_atom_site_fract_x
_atom_site_fract_y
_atom_site_fract_z
_atom_site_occupancy
Sr1 0.0000 0.0000 0.1700 1
Sr2 0.0000 0.5000 0.0000 1
Mg1 0.0000 0.0000 0.3704 1
Ni1 0.0000 0.0000 0.0000 1
# - D(E_F) (states/eV per cell) = 12.0
# - total magnetization (μB/f.u.) = 0.000
# - formation energy from the elements (eV per atom) = 0.08

***

# KLi2Hg (PBE, optimized geometry)
data_KLi2Hg
_space_group_name_H-M_alt 'I m m 2'
_space_group_IT_number 44
_cell_length_a 3.7961
_cell_length_b 4.2312
_cell_length_c 15.2959
_cell_angle_alpha 90.00
_cell_angle_beta 90.00
_cell_angle_gamma 90.00
loop_
_space_group_symop_operation_xyz
'x,y,z'
'-x,-y,z'
'-x,y,z'
'x,-y,z'
'x+1/2,y+1/2,z+1/2'
'-x+1/2,-y+1/2,z+1/2'
'-x+1/2,y+1/2,z+1/2'
'x+1/2,-y+1/2,z+1/2'
loop_
_atom_site_label
_atom_site_fract_x
_atom_site_fract_y
_atom_site_fract_z
_atom_site_occupancy
K1 0.0000 0.0000 0.0000 1
Li1 0.0000 0.0000 0.6668 1
Li2 0.0000 0.5000 0.8010 1
Hg1 0.0000 0.5000 0.2978 1
# - D(E_F) (states/eV per cell) = 3.7
# - total magnetization (μB/f.u.) = 0.000
# - formation energy from the elements (eV per atom) = -0.07

***

# Pu2SnPt3 (PBE, optimized geometry)
data_Pu2SnPt3
_space_group_name_H-M_alt 'P 63/m m c'
_space_group_IT_number 194
_space_group_name_Hall '-P 6c 2c'
_cell_length_a 5.6456
_cell_length_b 5.6456
_cell_length_c 8.7334
_cell_angle_alpha 90.00
_cell_angle_beta 90.00
_cell_angle_gamma 120.00
loop_
_atom_site_label
_atom_site_fract_x
_atom_site_fract_y
_atom_site_fract_z
_atom_site_occupancy
Pu1 0.3333 0.6667 0.0719 1
Sn1 0.0000 0.0000 0.0000 1
Pt1 0.1726 0.3453 0.7500 1
# - D(E_F) (states/eV per cell) = 35.4
# - total magnetization (μB/f.u.) = 10.708
# - formation energy from the elements (eV per atom) = -0.79

***

# LiGdNiRh (PBE, optimized geometry)
data_LiGdNiRh
_space_group_name_H-M_alt 'F -4 3 m'
_space_group_IT_number 216
_space_group_name_Hall 'F -4 2 3'
_cell_length_a 6.4407
_cell_length_b 6.4407
_cell_length_c 6.4407
_cell_angle_alpha 90.00
_cell_angle_beta 90.00
_cell_angle_gamma 90.00
loop_
_atom_site_label
_atom_site_fract_x
_atom_site_fract_y
_atom_site_fract_z
_atom_site_occupancy
Li1 0.0000 0.0000 0.0000 1
Gd1 0.0000 0.0000 0.5000 1
Ni1 0.2500 0.2500 0.2500 1
Rh1 0.2500 0.2500 0.7500 1
# - D(E_F) (states/eV per cell) = 6.1
# - total magnetization (μB/f.u.) = 7.110
# - formation energy from the elements (eV per atom) = -0.29

***

# PrEr2ReN4 (PBE, optimized geometry)
data_PrEr2ReN4
_space_group_name_H-M_alt 'C m c m'
_space_group_IT_number 63
_space_group_name_Hall '-C 2c 2'
_cell_length_a 3.4675
_cell_length_b 11.7112
_cell_length_c 11.5460
_cell_angle_alpha 90.00
_cell_angle_beta 90.00
_cell_angle_gamma 90.00
loop_
_atom_site_label
_atom_site_fract_x
_atom_site_fract_y
_atom_site_fract_z
_atom_site_occupancy
Pr1 0.0000 0.1159 0.2500 1
Er1 0.0000 0.3689 0.0393 1
Re1 0.0000 0.1456 0.7500 1
N1 0.0000 0.0000 0.0000 1
N2 0.0000 0.2618 0.6247 1
N3 0.0000 0.4378 0.2500 1
# - D(E_F) (states/eV per cell) = 6.7
# - total magnetization (μB/f.u.) = 0.000
# - formation energy (no corrections) (kJ/mol of atoms) = -102.2

***

# Ce5Zn3In (PBE, optimized geometry)
data_Ce5Zn3In
_space_group_name_H-M_alt 'P 63/m c m'
_space_group_IT_number 193
_space_group_name_Hall '-P 6c 2'
_cell_length_a 8.9567
_cell_length_b 8.9567
_cell_length_c 6.4352
_cell_angle_alpha 90.00
_cell_angle_beta 90.00
_cell_angle_gamma 120.00
loop_
_atom_site_label
_atom_site_fract_x
_atom_site_fract_y
_atom_site_fract_z
_atom_site_occupancy
Ce1 0.0000 0.3278 0.2500 1
Ce2 0.3333 0.6667 0.0000 1
Zn1 0.0000 0.3369 0.7500 1
In1 0.0000 0.0000 0.0000 1
# - D(E_F) (states/eV per cell) = 46.1
# - total magnetization (μB/f.u.) = 5.527
# - formation energy from the elements (eV per atom) = -0.13

***

# CeGaSiNi3 (PBE, optimized geometry)
data_CeGaSiNi3
_space_group_name_H-M_alt 'C m c m'
_space_group_IT_number 63
_space_group_name_Hall '-C 2c 2'
_cell_length_a 6.1986
_cell_length_b 11.3513
_cell_length_c 5.5186
_cell_angle_alpha 90.00
_cell_angle_beta 90.00
_cell_angle_gamma 90.00
loop_
_atom_site_label
_atom_site_fract_x
_atom_site_fract_y
_atom_site_fract_z
_atom_site_occupancy
Ce1 0.0000 0.2124 0.2500 1
Ga1 0.0000 0.4689 0.2500 1
Si1 0.0000 0.1217 0.7500 1
Ni1 0.0000 0.3215 0.7500 1
Ni2 0.1987 0.0000 0.0000 1
# - D(E_F) (states/eV per cell) = 27.3
# - total magnetization (μB/f.u.) = 0.559
# - formation energy (no corrections) (kJ/mol of atoms) = -37.2

***

# Cs2CaW2 (PBE, optimized geometry)
data_Cs2CaW2
_space_group_name_H-M_alt 'I 4/m m m'
_space_group_IT_number 139
_space_group_name_Hall '-I 4 2'
_cell_length_a 3.6559
_cell_length_b 3.6559
_cell_length_c 29.7033
_cell_angle_alpha 90.00
_cell_angle_beta 90.00
_cell_angle_gamma 90.00
loop_
_atom_site_label
_atom_site_fract_x
_atom_site_fract_y
_atom_site_fract_z
_atom_site_occupancy
Cs1 0.0000 0.0000 0.1351 1
Ca1 0.0000 0.0000 0.5000 1
W1 0.0000 0.5000 0.2500 1
# - D(E_F) (states/eV per cell) = 9.8
# - total magnetization (μB/f.u.) = 0.538
# - formation energy from the elements (eV per atom) = 1.14
# - energy above the most stable polymorph in this dataset (meV per atom) = 0.0

***

# La3Pm12In (PBE, optimized geometry)
data_La3Pm12In
_space_group_name_H-M_alt 'P 4/m m m'
_space_group_IT_number 123
_space_group_name_Hall '-P 4 2'
_cell_length_a 5.1028
_cell_length_b 5.1028
_cell_length_c 20.8111
_cell_angle_alpha 90.00
_cell_angle_beta 90.00
_cell_angle_gamma 90.00
loop_
_atom_site_label
_atom_site_fract_x
_atom_site_fract_y
_atom_site_fract_z
_atom_site_occupancy
La1 0.0000 0.0000 0.0000 1
La2 0.0000 0.0000 0.2528 1
Pm1 0.0000 0.5000 0.1270 1
Pm2 0.0000 0.5000 0.3817 1
Pm3 0.5000 0.5000 0.0000 1
Pm4 0.5000 0.5000 0.2566 1
Pm5 0.5000 0.5000 0.5000 1
In1 0.0000 0.0000 0.5000 1
# - D(E_F) (states/eV per cell) = 23.4
# - total magnetization (μB/f.u.) = 0.001
# - formation energy from the elements (eV per atom) = -0.04